[1]
DFT (PBE-GGA) results for NbCoCuNi after structural relaxation.

```
4
Lattice="4.167 0.000 0.000 2.084 3.609 0.000 2.084 1.203 3.403" Properties=species:S:1:pos:R:3 pbc="T T T"
Ni 4.167 2.406 1.701
Nb 6.251 3.609 2.552
Co 0.000 0.000 0.000
Cu 2.084 1.203 0.851
```

Results
The calculation puts the energy of formation at -0.067 eV per atom. Its volume is 51.2 Å³/cell. The total energy is -6.830 eV per atom.


[2]
DFT (PBE-GGA) results for PmZnGa3Pd after structural relaxation.

```
12
Lattice="-5.904 0.476 -2.062 0.121 -5.960 -1.721 -2.131 1.335 6.411" Properties=species:S:1:pos:R:3 pbc="T T T"
Pm -5.665 -0.625 1.767
Pm -2.250 -3.524 0.860
Zn -3.197 -4.276 3.398
Zn -4.718 0.127 -0.771
Ga -2.088 -0.367 1.123
Ga 0.035 -1.739 -0.502
Ga -2.867 -3.983 -2.250
Ga -2.917 -1.501 -1.533
Ga 0.086 -4.221 -1.219
Ga -5.827 -3.782 1.504
Pd -2.947 -1.050 3.427
Pd -4.968 -3.100 -0.799
```

Results
The calculation puts the energy of formation at -0.297 eV per atom. Its volume is 239.3 Å³/cell. The total energy is -3.680 eV per atom.